Entry 1:
# Nd4SiRh3

A relaxed Nd4SiRh3 crystal (PBE-GGA, Alexandria).

## Properties
E_form (uncorrected) = -5.68 eV per formula unit
space group = Pmm2 (25)

```
8
Lattice="4.122 0.000 0.000 0.000 4.202 0.000 0.000 0.000 10.908" Properties=species:S:1:pos:R:3 pbc="T T T"
Nd 0.000 0.000 0.000
Nd 0.000 2.101 3.043
Nd 2.061 0.000 5.392
Nd 2.061 2.101 8.526
Si 0.000 0.000 7.681
Rh 0.000 2.101 6.244
Rh 2.061 0.000 2.443
Rh 2.061 2.101 0.553
```

***

Entry 2:
# CeSi2Ag

A relaxed CeSi2Ag crystal (PBE-GGA, Alexandria).

## Properties
E_form (uncorrected) = -1.99 eV per formula unit
space group = Cmcm (63)

```
8
Lattice="2.091 -8.860 0.000 2.091 8.860 0.000 0.000 0.000 4.186" Properties=species:S:1:pos:R:3 pbc="T T T"
Ce 2.091 7.176 3.140
Ce 2.091 -7.176 1.047
Si 2.091 2.872 3.140
Si 2.091 0.559 3.140
Si 2.091 -0.559 1.047
Si 2.091 -2.872 1.047
Ag 2.091 4.457 1.047
Ag 2.091 -4.457 3.140
```

***

Entry 3:
# Tb6Pm3Tm2Th

A relaxed Tb6Pm3Tm2Th crystal (PBE-GGA, Alexandria).

## Properties
DFT formation energy = 0.02 eV per atom
space group = C2/m (12)

```
12
Lattice="3.094 -5.355 0.000 3.094 5.355 0.000 -2.063 0.000 11.678" Properties=species:S:1:pos:R:3 pbc="T T T"
Tb 1.023 1.770 2.874
Tb -0.019 0.000 8.805
Tb 1.023 -1.770 2.874
Tb 3.101 1.770 8.804
Tb 4.143 0.000 2.874
Tb 3.101 -1.770 8.804
Pm 2.062 3.567 5.839
Pm 2.062 0.000 5.839
Pm 2.062 -3.567 5.839
Tm 3.094 1.787 0.000
Tm 3.094 -1.787 0.000
Th 0.000 0.000 0.000
```

***

Entry 4:
# KTl2Bi2

A relaxed KTl2Bi2 crystal (PBE-GGA, Alexandria).

## Properties
DFT formation energy = -0.10 eV per atom
space group = P4/mbm (127)

```
10
Lattice="9.558 0.000 0.000 0.000 9.558 0.000 0.000 0.000 3.996" Properties=species:S:1:pos:R:3 pbc="T T T"
K 0.000 0.000 0.000
K 4.779 4.779 0.000
Tl 1.555 3.223 1.998
Tl 3.223 8.002 1.998
Tl 6.334 1.555 1.998
Tl 8.002 6.334 1.998
Bi 1.127 5.906 0.000
Bi 3.652 1.127 0.000
Bi 5.906 8.430 0.000
Bi 8.430 3.652 0.000
```

***

Entry 5:
# Ba4Sr3Zn

A relaxed Ba4Sr3Zn crystal (PBE-GGA, Alexandria).

## Properties
DFT formation energy = -0.03 eV per atom
space group = P4/mmm (123)

```
8
Lattice="4.249 0.000 0.000 0.000 4.249 0.000 0.000 0.000 23.494" Properties=species:S:1:pos:R:3 pbc="T T T"
Ba 0.000 0.000 1.931
Ba 0.000 0.000 8.489
Ba 0.000 0.000 15.004
Ba 0.000 0.000 21.562
Sr 2.124 2.124 5.250
Sr 2.124 2.124 11.747
Sr 2.124 2.124 18.244
Zn 2.124 2.124 0.000
```

***

Entry 6:
# Tc3RuCl

A relaxed Tc3RuCl crystal (PBE-GGA, Alexandria).

## Properties
E_form (uncorrected) = 9.39 eV per formula unit
space group = Pm-3m (221)

```
5
Lattice="4.746 0.000 0.000 0.000 4.746 0.000 0.000 0.000 4.746" Properties=species:S:1:pos:R:3 pbc="T T T"
Tc 0.000 0.000 2.373
Tc 0.000 2.373 0.000
Tc 2.373 0.000 0.000
Ru 0.000 0.000 0.000
Cl 2.373 2.373 2.373
```

***

Entry 7:
# ThBeCu4

A relaxed ThBeCu4 crystal (PBE-GGA, Alexandria).

## Properties
DFT formation energy = -0.02 eV per atom
space group = F-43m (216)

```
6
Lattice="0.000 3.576 3.576 3.576 0.000 3.576 3.576 3.576 0.000" Properties=species:S:1:pos:R:3 pbc="T T T"
Th 0.000 0.000 0.000
Be 1.788 1.788 1.788
Cu 4.454 2.697 2.697
Cu 2.697 4.454 2.697
Cu 2.697 2.697 4.454
Cu 4.454 4.454 4.454
```

***

Entry 8:
# TlAgC

A relaxed TlAgC crystal (PBE-GGA, Alexandria).

## Properties
DFT formation energy = 0.70 eV per atom
space group = P1 (1)

```
6
Lattice="3.884 0.000 0.000 -0.207 4.803 0.000 -0.977 -1.960 7.164" Properties=species:S:1:pos:R:3 pbc="T T T"
Tl 0.000 0.000 0.000
Tl 0.708 3.243 3.460
Ag 0.549 0.822 5.303
Ag 2.690 0.897 3.141
C 1.860 2.338 0.182
C 2.081 1.922 1.350
```

***

Entry 9:
# ZnInN2

A relaxed ZnInN2 crystal (PBE-GGA, Alexandria).

## Properties
E_form (uncorrected) = 4.70 eV per formula unit
space group = Fm-3m (225)

```
4
Lattice="0.000 2.848 2.848 2.848 0.000 2.848 2.848 2.848 0.000" Properties=species:S:1:pos:R:3 pbc="T T T"
Zn 0.000 0.000 0.000
In 2.848 2.848 2.848
N 1.424 1.424 1.424
N 4.271 4.271 4.271
```

***

Entry 10:
# KSnNF2

A relaxed KSnNF2 crystal (PBE-GGA, Alexandria).

## Properties
E_form (uncorrected) = -1.14 eV per formula unit
space group = P4/mmm (123)

```
5
Lattice="4.632 0.000 0.000 0.000 4.632 0.000 0.000 0.000 4.912" Properties=species:S:1:pos:R:3 pbc="T T T"
K 0.000 0.000 0.000
Sn 2.316 2.316 2.456
N 0.000 0.000 2.456
F 0.000 2.316 0.000
F 2.316 0.000 0.000
```

***

Entry 11:
# NpAsRh

A relaxed NpAsRh crystal (PBE-GGA, Alexandria).

## Properties
DFT formation energy = -0.52 eV per atom
space group = P4/nmm (129)

```
6
Lattice="4.024 0.000 0.000 0.000 4.024 0.000 0.000 0.000 7.014" Properties=species:S:1:pos:R:3 pbc="T T T"
Np 1.006 1.006 1.080
Np 3.018 3.018 5.934
As 1.006 1.006 5.134
As 3.018 3.018 1.880
Rh 1.006 3.018 3.507
Rh 3.018 1.006 3.507
```

***

Entry 12:
# Ba2SrSm

A relaxed Ba2SrSm crystal (PBE-GGA, Alexandria).

## Properties
DFT formation energy = 0.15 eV per atom
space group = P4/mmm (123)

```
4
Lattice="4.148 0.000 0.000 0.000 4.148 0.000 0.000 0.000 11.840" Properties=species:S:1:pos:R:3 pbc="T T T"
Ba 0.000 0.000 2.669
Ba 0.000 0.000 9.171
Sr 2.074 2.074 5.920
Sm 2.074 2.074 0.000
```

***

no.,magnetization (μB per cell)
1,0.000
2,0.947
3,0.000
4,0.000
5,0.000
6,4.815
7,0.000
8,0.000
9,1.002
10,2.000
11,8.029
12,0.006